Compound: CaAcSi
Source: Alexandria via LeMat-Bulk
Functional: PBE
Structure: relaxed

Unit cell a=4.911 b=4.911 c=4.589 alpha=90.00 beta=90.00 gamma=120.00
Atoms (fractional coordinates):
Ca (0.000, 0.000, 0.000)
Ac (0.333, 0.667, 0.506)
Si (0.667, 0.333, 0.083)

Output
Relative energy among the computed polymorphs ... 173 meV per atom
Calculated density ... 5.11 g/cm3
Formation energy without anion corrections ... -0.23 eV/atom



Compound: Pr6Ga2Ag
Source: Alexandria via LeMat-Bulk
Functional: PBE
Structure: relaxed

Unit cell a=6.505 b=8.550 c=11.306 alpha=90.00 beta=119.02 gamma=90.00
Atoms (fractional coordinates):
Pr (0.075, 0.053, 0.224)
Pr (0.075, 0.447, 0.724)
Pr (0.173, 0.698, 0.069)
Pr (0.173, 0.802, 0.569)
Pr (0.417, 0.156, 0.058)
Pr (0.417, 0.344, 0.558)
Pr (0.583, 0.656, 0.442)
Pr (0.583, 0.844, 0.942)
Pr (0.827, 0.198, 0.431)
Pr (0.827, 0.302, 0.931)
Pr (0.925, 0.553, 0.276)
Pr (0.925, 0.947, 0.776)
Ga (0.318, 0.121, 0.742)
Ga (0.318, 0.379, 0.242)
Ga (0.682, 0.621, 0.758)
Ga (0.682, 0.879, 0.258)
Ag (0.500, 0.000, 0.500)
Ag (0.500, 0.500, 0.000)

Output
Relative energy among the computed polymorphs ... 75 meV per atom
Calculated density ... 6.60 g/cm3
DFT formation energy ... -0.21 eV per atom



Compound: In2AsAu
Source: Alexandria via LeMat-Bulk
Functional: PBE
Structure: relaxed

Unit cell a=2.922 b=3.875 c=7.972 alpha=90.00 beta=90.00 gamma=90.00
Atoms (fractional coordinates):
In (0.000, 0.000, 0.233)
In (0.000, 0.000, 0.767)
As (0.000, 0.500, 0.500)
Au (0.500, 0.500, 0.000)

Output
Relative energy among the computed polymorphs ... 79 meV per atom
Calculated density ... 9.23 g/cm3
DFT formation energy ... -0.03 eV per atom



Compound: PWAu2
Source: Alexandria via LeMat-Bulk
Functional: PBE
Structure: relaxed

Unit cell a=7.374 b=7.374 c=5.107 alpha=90.00 beta=90.00 gamma=90.00
Atoms (fractional coordinates):
P (0.000, 0.000, 0.000)
P (0.000, 0.500, 0.250)
P (0.500, 0.000, 0.750)
P (0.500, 0.500, 0.500)
W (0.000, 0.000, 0.500)
W (0.000, 0.500, 0.750)
W (0.500, 0.000, 0.250)
W (0.500, 0.500, 0.000)
Au (0.221, 0.250, 0.125)
Au (0.250, 0.721, 0.375)
Au (0.250, 0.779, 0.875)
Au (0.279, 0.250, 0.625)
Au (0.721, 0.750, 0.625)
Au (0.750, 0.221, 0.875)
Au (0.750, 0.279, 0.375)
Au (0.779, 0.750, 0.125)

Output
Relative energy among the computed polymorphs ... 421 meV per atom
Calculated density ... 14.56 g/cm3
DFT formation energy ... 0.53 eV per atom



Compound: BaTe2Os
Source: Alexandria via LeMat-Bulk
Functional: PBE
Structure: relaxed

Unit cell a=4.123 b=4.123 c=28.503 alpha=90.00 beta=90.00 gamma=120.00
Atoms (fractional coordinates):
Ba (0.000, 0.000, 0.000)
Ba (0.333, 0.667, 0.667)
Ba (0.667, 0.333, 0.333)
Te (0.000, 0.000, 0.121)
Te (0.000, 0.000, 0.879)
Te (0.333, 0.667, 0.545)
Te (0.333, 0.667, 0.788)
Te (0.667, 0.333, 0.212)
Te (0.667, 0.333, 0.455)
Os (0.000, 0.000, 0.500)
Os (0.333, 0.667, 0.167)
Os (0.667, 0.333, 0.833)

Output
Relative energy among the computed polymorphs ... 491 meV per atom
Calculated density ... 6.92 g/cm3
Formation energy without anion corrections ... 0.05 eV/atom



Compound: KP2HOs
Source: Alexandria via LeMat-Bulk
Functional: PBE
Structure: relaxed

Unit cell a=4.426 b=4.426 c=6.929 alpha=90.00 beta=90.00 gamma=90.00
Atoms (fractional coordinates):
K (0.000, 0.000, 0.000)
P (0.000, 0.500, 0.500)
P (0.500, 0.000, 0.500)
H (0.500, 0.500, 0.000)
Os (0.000, 0.000, 0.500)

Output
Calculated density ... 3.58 g/cm3
Final energy ... -4.82 eV per atom



Compound: CaCrCl2
Source: Alexandria via LeMat-Bulk
Functional: PBE
Structure: relaxed

Unit cell a=3.478 b=3.478 c=8.453 alpha=90.00 beta=90.00 gamma=90.00
Atoms (fractional coordinates):
Ca (0.000, 0.000, 0.000)
Cr (0.500, 0.500, 0.690)
Cl (0.000, 0.000, 0.558)
Cl (0.500, 0.500, 0.165)

Output
Relative energy among the computed polymorphs ... 96 meV per atom
Calculated density ... 2.65 g/cm3
Formation energy without anion corrections ... -0.83 eV/atom



Compound: Sr8LiRh2
Source: Alexandria via LeMat-Bulk
Functional: PBE
Structure: relaxed

Unit cell a=6.138 b=8.697 c=9.670 alpha=113.65 beta=92.51 gamma=94.81
Atoms (fractional coordinates):
Sr (0.162, 0.242, 0.172)
Sr (0.246, 0.696, 0.138)
Sr (0.269, 0.933, 0.615)
Sr (0.274, 0.442, 0.623)
Sr (0.726, 0.558, 0.377)
Sr (0.731, 0.067, 0.385)
Sr (0.754, 0.304, 0.862)
Sr (0.838, 0.758, 0.828)
Li (0.500, 0.000, 0.000)
Rh (0.230, 0.594, 0.385)
Rh (0.770, 0.406, 0.615)

Output
Calculated density ... 3.23 g/cm3
DFT formation energy ... -0.07 eV per atom



Compound: HfMoHIr2
Source: Alexandria via LeMat-Bulk
Functional: PBE
Structure: relaxed

Unit cell a=4.038 b=4.038 c=4.075 alpha=90.00 beta=90.00 gamma=90.00
Atoms (fractional coordinates):
Hf (0.000, 0.000, 0.000)
Mo (0.500, 0.500, 0.000)
H (0.500, 0.500, 0.500)
Ir (0.000, 0.500, 0.500)
Ir (0.500, 0.000, 0.500)

Output
Calculated density ... 16.49 g/cm3
Final energy ... -8.72 eV per atom



Compound: Tl2AgSb
Source: Alexandria via LeMat-Bulk
Functional: PBE
Structure: relaxed

Unit cell a=3.373 b=5.547 c=11.768 alpha=90.00 beta=90.00 gamma=90.00
Atoms (fractional coordinates):
Tl (0.000, 0.000, 0.000)
Tl (0.000, 0.500, 0.204)
Tl (0.500, 0.000, 0.704)
Tl (0.500, 0.500, 0.500)
Ag (0.000, 0.000, 0.477)
Ag (0.500, 0.500, 0.977)
Sb (0.000, 0.500, 0.778)
Sb (0.500, 0.000, 0.278)

Output
Relative energy among the computed polymorphs ... 86 meV per atom
Calculated density ... 9.63 g/cm3
Formation energy without anion corrections ... 0.09 eV/atom



Compound: YCdCl2
Source: Alexandria via LeMat-Bulk
Functional: PBE
Structure: relaxed

Unit cell a=12.379 b=3.739 c=6.678 alpha=90.00 beta=119.84 gamma=90.00
Atoms (fractional coordinates):
Y (0.000, 0.000, 0.000)
Y (0.500, 0.500, 0.000)
Cd (0.234, 0.500, 0.998)
Cd (0.734, 0.000, 0.998)
Cl (0.056, 0.500, 0.320)
Cl (0.385, 0.000, 0.679)
Cl (0.556, 0.000, 0.320)
Cl (0.885, 0.500, 0.679)

Output
Relative energy among the computed polymorphs ... 30 meV per atom
Calculated density ... 3.37 g/cm3
Formation energy without anion corrections ... -1.28 eV/atom



Compound: InHgSN2
Source: Alexandria via LeMat-Bulk
Functional: PBE
Structure: relaxed

Unit cell a=4.267 b=4.267 c=5.529 alpha=90.00 beta=90.00 gamma=90.00
Atoms (fractional coordinates):
In (0.000, 0.000, 0.000)
Hg (0.500, 0.500, 0.500)
S (0.000, 0.000, 0.500)
N (0.000, 0.500, 0.000)
N (0.500, 0.000, 0.000)

Output
Relative energy among the computed polymorphs ... 0 meV per atom
Calculated density ... 6.19 g/cm3
Formation energy without anion corrections ... 1.37 eV/atom



Compound: Er3MgRu
Source: Alexandria via LeMat-Bulk
Functional: PBE
Structure: relaxed

Unit cell a=3.338 b=9.229 c=9.230 alpha=65.64 beta=89.99 gamma=90.00
Atoms (fractional coordinates):
Er (0.000, 0.000, 0.000)
Er (0.000, 0.209, 0.215)
Er (0.000, 0.497, 0.503)
Er (0.000, 0.712, 0.712)
Er (0.947, 0.104, 0.607)
Er (0.979, 0.604, 0.107)
Mg (0.500, 0.356, 0.860)
Mg (0.500, 0.852, 0.354)
Ru (0.492, 0.355, 0.357)
Ru (0.492, 0.854, 0.857)

Output
Relative energy among the computed polymorphs ... 39 meV per atom
Calculated density ... 8.04 g/cm3
DFT formation energy ... -0.18 eV per atom



Compound: CuIr2Au
Source: Alexandria via LeMat-Bulk
Functional: PBE
Structure: relaxed

Unit cell a=2.763 b=2.763 c=27.025 alpha=90.00 beta=90.00 gamma=120.00
Atoms (fractional coordinates):
Cu (0.000, 0.000, 0.000)
Cu (0.333, 0.667, 0.667)
Cu (0.667, 0.333, 0.333)
Ir (0.000, 0.000, 0.256)
Ir (0.000, 0.000, 0.744)
Ir (0.333, 0.667, 0.410)
Ir (0.333, 0.667, 0.923)
Ir (0.667, 0.333, 0.077)
Ir (0.667, 0.333, 0.590)
Au (0.000, 0.000, 0.500)
Au (0.333, 0.667, 0.167)
Au (0.667, 0.333, 0.833)

Output
Relative energy among the computed polymorphs ... 147 meV per atom
Calculated density ... 17.98 g/cm3
DFT formation energy ... 0.26 eV per atom



Compound: IrRu3O
Source: Alexandria via LeMat-Bulk
Functional: PBE
Structure: relaxed

Unit cell a=4.036 b=4.036 c=4.036 alpha=90.00 beta=90.00 gamma=90.00
Atoms (fractional coordinates):
Ir (0.000, 0.000, 0.000)
Ru (0.000, 0.500, 0.500)
Ru (0.500, 0.000, 0.500)
Ru (0.500, 0.500, 0.000)
O (0.500, 0.500, 0.500)

Output
Relative energy among the computed polymorphs ... 0 meV per atom
Calculated density ... 12.92 g/cm3
Formation energy without anion corrections ... 0.37 eV/atom



Compound: SmGdCdRu
Source: Alexandria via LeMat-Bulk
Functional: PBE
Structure: relaxed

Unit cell a=7.225 b=7.225 c=7.225 alpha=90.00 beta=90.00 gamma=90.00
Atoms (fractional coordinates):
Sm (0.000, 0.000, 0.000)
Sm (0.000, 0.500, 0.500)
Sm (0.500, 0.000, 0.500)
Sm (0.500, 0.500, 0.000)
Gd (0.000, 0.000, 0.500)
Gd (0.000, 0.500, 0.000)
Gd (0.500, 0.000, 0.000)
Gd (0.500, 0.500, 0.500)
Cd (0.250, 0.250, 0.750)
Cd (0.250, 0.750, 0.250)
Cd (0.750, 0.250, 0.250)
Cd (0.750, 0.750, 0.750)
Ru (0.250, 0.250, 0.250)
Ru (0.250, 0.750, 0.750)
Ru (0.750, 0.250, 0.750)
Ru (0.750, 0.750, 0.250)

Output
Calculated density ... 9.18 g/cm3
DFT formation energy ... -0.23 eV per atom



Compound: YAsOs2
Source: Alexandria via LeMat-Bulk
Functional: PBE
Structure: relaxed

Unit cell a=3.121 b=4.785 c=9.388 alpha=90.00 beta=90.00 gamma=90.00
Atoms (fractional coordinates):
Y (0.000, 0.000, 0.000)
Y (0.500, 0.500, 0.500)
As (0.000, 0.500, 0.768)
As (0.500, 0.000, 0.268)
Os (0.000, 0.000, 0.485)
Os (0.000, 0.500, 0.217)
Os (0.500, 0.000, 0.717)
Os (0.500, 0.500, 0.985)

Output
Calculated density ... 12.89 g/cm3
DFT formation energy ... 0.17 eV per atom



Compound: LiAcPd
Source: Alexandria via LeMat-Bulk
Functional: PBE
Structure: relaxed

Unit cell a=3.761 b=3.761 c=10.345 alpha=90.00 beta=90.00 gamma=90.00
Atoms (fractional coordinates):
Li (0.000, 0.000, 0.000)
Li (0.500, 0.500, 0.500)
Ac (0.000, 0.000, 0.286)
Ac (0.500, 0.500, 0.786)
Pd (0.000, 0.000, 0.616)
Pd (0.500, 0.500, 0.116)

Output
Relative energy among the computed polymorphs ... 202 meV per atom
Calculated density ... 7.72 g/cm3
DFT formation energy ... -0.36 eV per atom



Compound: Dy2HfO5
Source: Alexandria via LeMat-Bulk
Functional: PBE
Structure: relaxed

Unit cell a=7.541 b=3.753 c=15.770 alpha=90.00 beta=90.00 gamma=90.00
Atoms (fractional coordinates):
Dy (0.090, 0.250, 0.089)
Dy (0.137, 0.250, 0.739)
Dy (0.363, 0.750, 0.239)
Dy (0.410, 0.750, 0.589)
Dy (0.590, 0.250, 0.411)
Dy (0.637, 0.250, 0.761)
Dy (0.863, 0.750, 0.261)
Dy (0.910, 0.750, 0.911)
Hf (0.126, 0.250, 0.429)
Hf (0.374, 0.750, 0.929)
Hf (0.626, 0.250, 0.071)
Hf (0.874, 0.750, 0.571)
O (0.090, 0.750, 0.467)
O (0.091, 0.750, 0.655)
O (0.100, 0.750, 0.180)
O (0.142, 0.750, 0.004)
O (0.195, 0.750, 0.832)
O (0.305, 0.250, 0.332)
O (0.358, 0.250, 0.504)
O (0.400, 0.250, 0.680)
O (0.409, 0.250, 0.155)
O (0.410, 0.250, 0.967)
O (0.590, 0.750, 0.033)
O (0.591, 0.750, 0.845)
O (0.600, 0.750, 0.320)
O (0.642, 0.750, 0.496)
O (0.695, 0.750, 0.668)
O (0.805, 0.250, 0.168)
O (0.858, 0.250, 0.996)
O (0.900, 0.250, 0.820)
O (0.909, 0.250, 0.345)
O (0.910, 0.250, 0.533)

Output
Calculated density ... 8.68 g/cm3
Formation energy without anion corrections ... -3.57 eV/atom



Compound: KY2Cd
Source: Alexandria via LeMat-Bulk
Functional: PBE
Structure: relaxed

Unit cell a=4.961 b=4.961 c=5.277 alpha=90.00 beta=90.00 gamma=90.00
Atoms (fractional coordinates):
K (0.000, 0.000, 0.000)
Y (0.000, 0.500, 0.500)
Y (0.500, 0.000, 0.500)
Cd (0.500, 0.500, 0.000)

Output
Calculated density ... 4.21 g/cm3
DFT formation energy ... 0.33 eV per atom



Compound: Hg2RhCl
Source: Alexandria via LeMat-Bulk
Functional: PBE
Structure: relaxed

Unit cell a=10.210 b=3.153 c=6.708 alpha=90.00 beta=98.15 gamma=90.00
Atoms (fractional coordinates):
Hg (0.000, 0.000, 0.000)
Hg (0.239, 0.000, 0.718)
Hg (0.500, 0.500, 0.000)
Hg (0.739, 0.500, 0.718)
Rh (0.002, 0.500, 0.668)
Rh (0.502, 0.000, 0.668)
Cl (0.449, 0.500, 0.380)
Cl (0.949, 0.000, 0.380)

Output
Relative energy among the computed polymorphs ... 0 meV per atom
Calculated density ... 8.38 g/cm3
Formation energy without anion corrections ... 0.00 eV/atom



Compound: GaCoHIr2
Source: Alexandria via LeMat-Bulk
Functional: PBE
Structure: relaxed

Unit cell a=3.964 b=3.964 c=3.587 alpha=90.00 beta=90.00 gamma=90.00
Atoms (fractional coordinates):
Ga (0.000, 0.000, 0.000)
Co (0.500, 0.500, 0.000)
H (0.500, 0.500, 0.500)
Ir (0.000, 0.500, 0.500)
Ir (0.500, 0.000, 0.500)

Output
Calculated density ... 15.14 g/cm3
Final energy ... -6.29 eV per atom



Compound: Li2TlHg10
Source: Alexandria via LeMat-Bulk
Functional: PBE
Structure: relaxed

Unit cell a=10.233 b=8.360 c=7.415 alpha=80.64 beta=53.72 gamma=45.64
Atoms (fractional coordinates):
Li (0.000, 0.500, 0.000)
Li (0.500, 0.000, 0.500)
Tl (0.000, 0.000, 0.000)
Hg (0.000, 0.000, 0.500)
Hg (0.018, 0.326, 0.674)
Hg (0.265, 0.489, 0.511)
Hg (0.326, 0.018, 0.982)
Hg (0.489, 0.265, 0.735)
Hg (0.500, 0.500, 0.000)
Hg (0.511, 0.735, 0.265)
Hg (0.674, 0.982, 0.018)
Hg (0.735, 0.511, 0.489)
Hg (0.982, 0.674, 0.326)

Output
Calculated density ... 11.22 g/cm3
DFT formation energy ... -0.09 eV per atom



Compound: Y2HIrPt
Source: Alexandria via LeMat-Bulk
Functional: PBE
Structure: relaxed

Unit cell a=4.955 b=4.955 c=3.558 alpha=90.00 beta=90.00 gamma=90.00
Atoms (fractional coordinates):
Y (0.000, 0.500, 0.000)
Y (0.500, 0.000, 0.000)
H (0.000, 0.000, 0.000)
Ir (0.000, 0.000, 0.500)
Pt (0.500, 0.500, 0.500)

Output
Relative energy among the computed polymorphs ... 0 meV per atom
Calculated density ... 10.76 g/cm3



Compound: TaCuTe2
Source: Alexandria via LeMat-Bulk
Functional: PBE
Structure: relaxed

Unit cell a=3.477 b=3.477 c=6.771 alpha=90.00 beta=90.00 gamma=90.00
Atoms (fractional coordinates):
Ta (0.000, 0.000, 0.000)
Cu (0.000, 0.000, 0.500)
Te (0.500, 0.500, 0.241)
Te (0.500, 0.500, 0.759)

Output
Calculated density ... 10.13 g/cm3
Formation energy without anion corrections ... 0.11 eV/atom



Compound: CeHfPa
Source: Alexandria via LeMat-Bulk
Functional: PBE
Structure: relaxed

Unit cell a=3.175 b=3.175 c=17.111 alpha=90.00 beta=90.00 gamma=120.00
Atoms (fractional coordinates):
Ce (0.333, 0.667, 0.000)
Ce (0.667, 0.333, 0.500)
Hf (0.333, 0.667, 0.175)
Hf (0.667, 0.333, 0.675)
Pa (0.000, 0.000, 0.329)
Pa (0.000, 0.000, 0.829)

Output
Relative energy among the computed polymorphs ... 108 meV per atom
Calculated density ... 12.22 g/cm3
DFT formation energy ... 0.19 eV per atom